## KSmMo2O8 (PBE+U)

Data for KSmMo2O8 after structural relaxation.

```
data_KSmMo2O8
_chemical_formula_sum 'K2 Sm2 Mo4 O16'
_symmetry_space_group_name_H-M 'I -4'
_symmetry_Int_Tables_number 82
_symmetry_space_group_name_Hall 'I -4'
_cell_length_a 5.425
_cell_length_b 5.425
_cell_length_c 11.972
_cell_angle_alpha 90.00
_cell_angle_beta 90.00
_cell_angle_gamma 90.00
loop_
_atom_site_label
_atom_site_type_symbol
_atom_site_fract_x
_atom_site_fract_y
_atom_site_fract_z
K1 K 0.000 0.000 0.000
Sm1 Sm 0.000 0.500 0.750
Mo1 Mo 0.000 0.000 0.500
Mo2 Mo 0.000 0.500 0.250
O1 O 0.123 0.242 0.588
O2 O 0.161 0.738 0.174
```

Volume ... 352.3 Å³/cell
Electronic total energy ... -170.53 eV per cell
DOS at the Fermi energy ... 0.00 states/eV/f.u.